Compound: MgNbSbI2
Source: the Alexandria database
Functional: PBE
Structure: optimized geometry

Geometry as POSCAR:
```
MgNbSbI2
1.0
5.5033 0.0000 0.0000
0.0000 5.5033 0.0000
0.0000 0.0000 5.5164
Mg Nb Sb I
1 1 1 2
Cartesian
0.0000 0.0000 0.0000
2.7517 2.7517 2.7582
0.0000 0.0000 2.7582
0.0000 2.7517 0.0000
2.7517 0.0000 0.0000
```

E_form (uncorrected): 73.1 kJ per mole of atoms
electronic total energy: -15.10 eV per cell
excess energy over the best structure of this formula in the dataset: 0.503 eV/atom



Compound: MgNbTe2I
Source: the Alexandria database
Functional: PBE
Structure: optimized geometry

Geometry as POSCAR:
```
MgNbTe2I
1.0
5.4139 0.0000 0.0000
0.0000 5.4139 0.0000
0.0000 0.0000 5.4561
Mg Nb Te I
1 1 2 1
Cartesian
0.0000 0.0000 0.0000
2.7070 2.7070 2.7280
0.0000 2.7070 0.0000
2.7070 0.0000 0.0000
0.0000 0.0000 2.7280
```

E_form (uncorrected): 58.4 kJ per mole of atoms
electronic total energy: -16.47 eV per cell
excess energy over the best structure of this formula in the dataset: 0.521 eV/atom



Compound: MgNbTe2I
Source: the Alexandria database
Functional: PBE
Structure: optimized geometry

Geometry as POSCAR:
```
MgNbTe2I
1.0
5.4436 0.0000 0.0000
0.0000 5.4436 0.0000
0.0000 0.0000 5.6864
Mg Nb Te I
1 1 2 1
Cartesian
0.0000 0.0000 0.0000
2.7218 2.7218 2.8432
0.0000 2.7218 2.8432
2.7218 0.0000 2.8432
2.7218 2.7218 0.0000
```

E_form (uncorrected): 8.1 kJ per mole of atoms
electronic total energy: -19.08 eV per cell
excess energy over the best structure of this formula in the dataset: 0.000 eV/atom



Compound: YMgNb2I
Source: the Alexandria database
Functional: PBE
Structure: optimized geometry

Geometry as POSCAR:
```
YMgNb2I
1.0
5.1087 0.0000 0.0000
0.0000 5.1087 0.0000
0.0000 0.0000 5.2404
Y Mg Nb I
1 1 2 1
Cartesian
0.0000 0.0000 0.0000
2.5543 2.5543 0.0000
0.0000 2.5543 2.6202
2.5543 0.0000 2.6202
2.5543 2.5543 2.6202
```

E_form (uncorrected): 105.4 kJ per mole of atoms
electronic total energy: -24.29 eV per cell